## KFeH5S2O10 (PBE with a Hubbard U)

Data for an optimized crystal structure of KFeH5S2O10.

Computed properties:
ΔE to the lowest computed polymorph = 6.24 eV per formula unit
SG = P1, No. 1

Lattice parameters (Å, degrees): 5.6892 6.0770 8.1985 74.73 70.87 88.03
With the nearest neighbours (Å) after each atom.
Positions (direct):
K: 0.0000 0.0000 0.0000  6 O 2.71-3.03
Fe: 0.4127 0.9527 0.5079  4 O 1.83-2.00
H: 0.0768 0.6576 0.7348  1 O 0.98
H: 0.4497 0.7511 0.1973  1 O 1.03
H: 0.5847 0.9687 0.7707  1 O 1.03
H: 0.6633 0.6536 0.3823  1 O 0.98
H: 0.7089 0.1957 0.5931  1 O 1.00
S: 0.1010 0.3126 0.3196  3 O 1.48-1.54
S: 0.6003 0.5071 0.8391  2 O 1.47-1.48
O: 0.1439 0.8159 0.7019  1 H 0.98
O: 0.3233 0.2518 0.3880  1 S 1.54
O: 0.3691 0.3749 0.9598  1 S 1.47
O: 0.3738 0.7635 0.0978  1 H 1.03
O: 0.5651 0.7814 0.3452  1 H 0.98
O: 0.5727 0.0734 0.6533  2 H 1.00-1.03
O: 0.5911 0.7780 0.9431  1 O 1.44, 1 H 1.58
O: 0.8297 0.4061 0.8664  1 S 1.48
O: 0.9144 0.4258 0.4445  1 S 1.50
O: 0.9917 0.1052 0.3035  1 S 1.48